An optimized crystal structure of Ca5Zr. Source: Alexandria via LeMat-Bulk, functional PBE-GGA.

Summary:
spin magnetization = 2.228 μB/f.u.
symmetry = Cm (8)
theoretical density = 2.20 g cm⁻³
formation energy = 126 kJ/mol of formula units

Structure (POSCAR):
```
Ca5Zr
1.0
6.9661 -1.8440 0.0000
6.9661 1.8440 0.0000
-2.4920 0.0000 8.5808
Ca Zr
5 1
Direct
0.0000 0.0000 0.0000
0.0465 0.0465 0.6254
0.3133 0.3133 0.6964
0.3714 0.3714 0.2529
0.6616 0.6616 0.3286
0.7069 0.7069 0.9495
```